Density functional theory data (PBE) for crystalline AcNdRu at its relaxed geometry. Values from VASP.

```
&SYSTEM
  ibrav = 0, nat = 6, ntyp = 3
/
ATOMIC_SPECIES
Ac 227.00 Ac.upf
Nd 144.24 Nd.upf
Ru 101.07 Ru.upf
CELL_PARAMETERS angstrom
4.090 0.000 -0.006
2.042 6.052 0.190
2.036 0.226 7.538
ATOMIC_POSITIONS crystal
Ac 0.872 0.439 0.695
Ac 0.264 0.902 0.446
Nd 0.653 0.378 0.194
Nd 0.483 0.964 0.948
Ru 0.934 0.817 0.194
Ru 0.202 0.525 0.948
```

Calculated values
- SG: P-1, No. 2
- Energy: -0.2266 hartree per atom
- Magnetic moment: 0.00 μB per cell
- Energy of formation: -0.1152 eV/atom